An optimized crystal structure of MgInGePd. Source: Alexandria via LeMat-Bulk, functional PBE-GGA.

As for the formation enthalpy at 0 K: -19.8 kJ/mol of atoms. The calculation puts the density of states at the Fermi level at 1.49 states/eV per cell. The space-group type is No. 216. As for the total magnetization: 0.000 μB/f.u.

abc: 4.756 4.756 4.756
angles: 60.00 60.00 60.00
Element x y z (fractional)
In  0.000  0.000  0.000
Mg  0.500  0.500  0.500
Ge  0.250  0.250  0.250
Pd  0.750  0.750  0.750

An optimized crystal structure of Hf2ScHAu. Source: Alexandria via LeMat-Bulk, functional PBE-GGA.

The raw total energy is -34.39 eV/f.u. The calculation puts the density of states at the Fermi level at 5.65 states/eV per cell. The space-group type is No. 123. As for the total magnetization: 0.000 μB/f.u.

abc: 4.334 4.450 4.334
angles: 90.00 90.00 90.00
Element x y z (fractional)
Sc  0.000  0.500  0.000
Hf  0.500  0.000  0.000
Hf  0.000  0.000  0.500
H  0.000  0.000  0.000
Au  0.500  0.500  0.500

An optimized crystal structure of NaPm3Th2Te6. Source: Alexandria via LeMat-Bulk, functional PBE-GGA.

The calculation puts the density of states at the Fermi level at 7.07 states/eV per cell. The space-group type is No. 12. For the uncorrected formation energy, the calculation gives -1.26 eV per atom. As for the total magnetization: 0.000 μB/f.u.

abc: 4.445 9.011 10.037
angles: 103.69 102.79 90.00
Element x y z (fractional)
Pm  0.167  0.832  0.333
Pm  0.500  0.500  0.000
Pm  0.833  0.168  0.667
Te  0.338  0.408  0.676
Te  0.662  0.592  0.324
Te  0.666  0.088  0.331
Te  0.004  0.250  0.007
Te  0.334  0.912  0.669
Te  0.996  0.750  0.993
Th  0.827  0.649  0.654
Th  0.173  0.351  0.346
Na  0.500  0.000  0.000

An optimized crystal structure of Rb2TlCd6. Source: Alexandria via LeMat-Bulk, functional PBE-GGA.

As for the formation enthalpy at 0 K: -4.4 kJ/mol of atoms. The calculation puts the density of states at the Fermi level at 5.32 states/eV per cell. The space-group type is No. 164. As for the total magnetization: 0.000 μB/f.u.

abc: 6.983 6.843 6.845
angles: 119.99 89.99 90.00
Element x y z (fractional)
Cd  0.650  0.180  0.360
Cd  0.350  0.820  0.180
Cd  0.650  0.640  0.820
Cd  0.650  0.180  0.820
Cd  0.350  0.360  0.180
Cd  0.350  0.820  0.640
Rb  0.131  0.333  0.667
Rb  0.869  0.667  0.333
Tl  0.000  0.000  0.000

An optimized crystal structure of Tl3AgPd5. Source: Alexandria via LeMat-Bulk, functional PBE-GGA.

As for the formation enthalpy at 0 K: -13.7 kJ/mol of atoms. The calculation puts the density of states at the Fermi level at 6.29 states/eV per cell. The space-group type is No. 193. As for the total magnetization: 0.000 μB/f.u.

abc: 5.736 8.152 8.154
angles: 119.99 90.00 90.00
Element x y z (fractional)
Pd  0.750  0.000  0.302
Pd  0.000  0.333  0.667
Pd  0.250  0.000  0.698
Pd  0.500  0.333  0.667
Pd  0.000  0.667  0.333
Pd  0.500  0.667  0.333
Pd  0.750  0.302  0.000
Pd  0.250  0.302  0.302
Pd  0.250  0.698  0.000
Pd  0.750  0.698  0.698
Tl  0.750  0.000  0.636
Tl  0.250  0.364  0.000
Tl  0.250  0.636  0.636
Tl  0.750  0.364  0.364
Tl  0.250  0.000  0.364
Tl  0.750  0.636  0.000
Ag  0.000  0.000  0.000
Ag  0.500  0.000  0.000

An optimized crystal structure of PmScHg6. Source: Alexandria via LeMat-Bulk, functional PBE-GGA.

As for the formation enthalpy at 0 K: -29.8 kJ/mol of atoms. Its excess energy over the best structure of this formula in the dataset is 0.000 eV per atom. The calculation puts the density of states at the Fermi level at 6.23 states/eV per cell. The space-group type is No. 38. As for the total magnetization: 0.000 μB/f.u.

abc: 5.003 6.624 6.624
angles: 120.02 90.00 90.00
Element x y z (fractional)
Hg  0.500  0.921  0.079
Hg  0.500  0.407  0.078
Hg  0.500  0.922  0.593
Hg  0.000  0.587  0.924
Hg  0.000  0.588  0.412
Hg  0.000  0.076  0.413
Pm  0.500  0.417  0.583
Sc  0.000  0.082  0.918

An optimized crystal structure of NaYSe2N. Source: Alexandria via LeMat-Bulk, functional PBE-GGA.

Its excess energy over the best structure of this formula in the dataset is 0.000 eV per atom. The calculation puts the density of states at the Fermi level at 3.27 states/eV per cell. The space-group type is No. 123. For the uncorrected formation energy, the calculation gives -0.31 eV per atom. As for the total magnetization: 2.660 μB/f.u.

abc: 5.565 5.565 4.595
angles: 90.00 90.00 90.00
Last column: magnetic moment on the atom in μB.
Element x y z (fractional)
Se  0.500  0.000  0.000  0.28
Se  0.000  0.500  0.000  0.28
Na  0.500  0.500  0.500  0.00
N  0.000  0.000  0.500  1.18
Y  0.000  0.000  0.000  -0.01

An optimized crystal structure of Li15Mg2Hg2. Source: Alexandria via LeMat-Bulk, functional PBE-GGA.

As for the formation enthalpy at 0 K: -4.0 kJ/mol of atoms. The calculation puts the density of states at the Fermi level at 9.19 states/eV per cell. The space-group type is No. 166. As for the total magnetization: 0.000 μB/f.u.

abc: 7.327 7.327 7.327
angles: 75.04 75.04 75.04
Element x y z (fractional)
Li  0.719  0.000  0.281
Li  0.403  0.842  0.403
Li  0.719  0.281  0.000
Li  0.403  0.403  0.842
Li  0.000  0.000  0.500
Li  0.158  0.597  0.597
Li  0.000  0.281  0.719
Li  0.597  0.597  0.158
Li  0.281  0.719  0.000
Li  0.000  0.719  0.281
Li  0.281  0.000  0.719
Li  0.597  0.158  0.597
Li  0.842  0.403  0.403
Li  0.500  0.000  0.000
Li  0.000  0.500  0.000
Mg  0.696  0.696  0.696
Mg  0.304  0.304  0.304
Hg  0.108  0.108  0.108
Hg  0.892  0.892  0.892

An optimized crystal structure of Pr2OsPb. Source: Alexandria via LeMat-Bulk, functional PBE-GGA.

As for the formation enthalpy at 0 K: 19.4 kJ/mol of atoms. Its excess energy over the best structure of this formula in the dataset is 0.399 eV per atom. The calculation puts the density of states at the Fermi level at 2.80 states/eV per cell. The space-group type is No. 166. As for the total magnetization: 0.000 μB/f.u.

abc: 4.042 4.042 10.301
angles: 78.69 78.69 60.00
Element x y z (fractional)
Pb  0.000  0.000  0.000
Pr  0.887  0.887  0.340
Pr  0.113  0.113  0.660
Os  0.500  0.500  0.500

An optimized crystal structure of BePtI2O. Source: Alexandria via LeMat-Bulk, functional PBE-GGA.

Its excess energy over the best structure of this formula in the dataset is 0.781 eV per atom. The calculation puts the density of states at the Fermi level at 3.34 states/eV per cell. The space-group type is No. 123. For the uncorrected formation energy, the calculation gives 0.47 eV per atom. As for the total magnetization: 0.559 μB/f.u.

abc: 5.629 5.629 3.819
angles: 90.00 90.00 90.00
Last column: magnetic moment on the atom in μB.
Element x y z (fractional)
Pt  0.000  0.000  0.000  0.24
Be  0.500  0.500  0.500  0.01
I  0.000  0.500  0.000  0.01
I  0.500  0.000  0.000  0.01
O  0.000  0.000  0.500  0.25

An optimized crystal structure of Nb3CN3. Source: Alexandria via LeMat-Bulk, functional PBE-GGA.

The calculation puts the density of states at the Fermi level at 12.76 states/eV per cell. The space-group type is No. 214. For the uncorrected formation energy, the calculation gives -0.64 eV per atom. As for the total magnetization: 0.000 μB/f.u.

abc: 7.610 7.610 7.610
angles: 109.47 109.47 109.47
Element x y z (fractional)
Nb  0.493  0.986  0.243
Nb  0.007  0.750  0.993
Nb  0.757  0.514  0.507
Nb  0.486  0.243  0.993
Nb  0.743  0.750  0.257
Nb  0.250  0.257  0.243
Nb  0.757  0.243  0.750
Nb  0.493  0.507  0.750
Nb  0.014  0.507  0.257
Nb  0.743  0.993  0.986
Nb  0.250  0.993  0.507
Nb  0.007  0.257  0.514
C  0.000  0.000  0.250
C  0.500  0.250  0.500
C  0.750  0.500  0.000
C  0.750  0.250  0.250
N  0.994  0.250  0.006
N  0.988  0.494  0.744
N  0.506  0.012  0.756
N  0.750  0.744  0.756
N  0.512  0.756  0.006
N  0.244  0.756  0.250
N  0.506  0.494  0.250
N  0.256  0.250  0.744
N  0.994  0.744  0.488
N  0.244  0.488  0.494
N  0.256  0.006  0.012
N  0.750  0.006  0.494

An optimized crystal structure of NdRh2Pb. Source: Alexandria via LeMat-Bulk, functional PBE-GGA.

As for the formation enthalpy at 0 K: -32.0 kJ/mol of atoms. The calculation puts the density of states at the Fermi level at 2.11 states/eV per cell. The space-group type is No. 123. As for the total magnetization: 0.000 μB/f.u.

abc: 3.568 3.568 6.472
angles: 90.00 90.00 90.00
Element x y z (fractional)
Nd  0.500  0.500  0.000
Rh  0.000  0.000  0.734
Rh  0.000  0.000  0.266
Pb  0.500  0.500  0.500

Look up the density of states at the Fermi level of the second one. 5.65 states/eV per cell

Repeat the fourth record exactly.
An optimized crystal structure of Rb2TlCd6. Source: Alexandria via LeMat-Bulk, functional PBE-GGA.

As for the formation enthalpy at 0 K: -4.4 kJ/mol of atoms. The calculation puts the density of states at the Fermi level at 5.32 states/eV per cell. The space-group type is No. 164. As for the total magnetization: 0.000 μB/f.u.

abc: 6.983 6.843 6.845
angles: 119.99 89.99 90.00
Element x y z (fractional)
Cd  0.650  0.180  0.360
Cd  0.350  0.820  0.180
Cd  0.650  0.640  0.820
Cd  0.650  0.180  0.820
Cd  0.350  0.360  0.180
Cd  0.350  0.820  0.640
Rb  0.131  0.333  0.667
Rb  0.869  0.667  0.333
Tl  0.000  0.000  0.000